[1]
VASP calculation (PBE-GGA) on BaTcIr after structural relaxation.

Output
Relative energy among the computed polymorphs = 1038 meV per atom
Total magnetic moment = 1.0 μB per formula unit
Calculated density = 9.96 g/cm3
Calculated formation energy = 1.122 eV per atom

abc: 4.6534 4.6534 4.6534
angles: 60.00 60.00 60.00
Sites, in units of the cell vectors:
Ir 0.2500 0.2500 0.2500
Ba 0.7500 0.7500 0.7500
Tc 0.0000 0.0000 0.0000


[2]
VASP calculation (PBE-GGA) on Li3GaCl after structural relaxation.

Output
Formation energy from raw total energies = -0.57 eV/atom
Relative energy among the computed polymorphs = 0 meV per atom
Total magnetic moment = 0.0 μB per formula unit
Calculated density = 2.13 g/cm3

abc: 4.6107 4.6107 4.6107
angles: 90.00 90.00 90.00
Sites, in units of the cell vectors:
Li 0.0000 0.5000 0.0000
Li 0.0000 0.0000 0.5000
Li 0.5000 0.0000 0.0000
Cl 0.0000 0.0000 0.0000
Ga 0.5000 0.5000 0.5000


[3]
VASP calculation (PBE-GGA) on KCu2BiCl8 after structural relaxation.

Output
Formation energy from raw total energies = -0.82 eV/atom
Total magnetic moment = 2.1 μB per formula unit
Calculated density = 3.52 g/cm3

abc: 6.5536 6.5536 8.5948
angles: 112.41 112.41 90.00
Sites, in units of the cell vectors:
Cl 0.0391 0.4011 0.3367
Cl 0.1639 0.6012 0.8767
Cl 0.7127 0.2755 0.8767
Cl 0.3988 0.2873 0.1233
Cl 0.5989 0.7024 0.6633
Cl 0.0644 0.9609 0.6633
Cl 0.7245 0.8361 0.1233
Cl 0.2976 0.9356 0.3367
Cu 0.2500 0.7500 0.5000
Cu 0.5000 0.5000 0.0000
K 0.7500 0.2500 0.5000
Bi 0.0000 0.0000 0.0000


[4]
VASP calculation (PBE-GGA) on YHg after structural relaxation.

Output
Total magnetic moment = 0.4 μB per formula unit
Calculated density = 8.34 g/cm3
Calculated formation energy = -0.204 eV per atom

abc: 3.7221 9.8487 3.7221
angles: 100.89 60.00 100.89
Sites, in units of the cell vectors:
Hg 0.2538 0.7615 0.2538
Hg 0.9962 0.9885 0.9962
Y 0.7424 0.2271 0.7424
Y 0.5076 0.5229 0.5076


[5]
VASP calculation (PBE-GGA) on Cd2ReSi after structural relaxation.

Output
Formation energy from raw total energies = 0.38 eV/atom
Total magnetic moment = 0.0 μB per formula unit
Calculated density = 10.27 g/cm3

abc: 4.8553 4.8553 4.9891
angles: 71.18 71.18 39.99
Sites, in units of the cell vectors:
Re 0.4746 0.4746 0.5879
Cd 0.0129 0.0129 0.0265
Cd 0.2457 0.2457 0.2358
Si 0.7668 0.7668 0.6498


[6]
VASP calculation (PBE-GGA) on Pu2Ni3As4Rh after structural relaxation.

Output
Total magnetic moment = 10.7 μB per formula unit
Calculated density = 10.54 g/cm3
Calculated formation energy = -0.656 eV per atom

abc: 4.2032 4.2032 9.5088
angles: 90.00 90.00 90.00
Sites, in units of the cell vectors:
Pu 0.0000 0.5000 0.7574
Pu 0.5000 0.0000 0.2426
As 0.5000 0.5000 0.0000
As 0.5000 0.0000 0.6408
As 0.0000 0.5000 0.3592
As 0.0000 0.0000 0.0000
Ni 0.0000 0.0000 0.5000
Ni 0.5000 0.0000 0.8847
Ni 0.0000 0.5000 0.1153
Rh 0.5000 0.5000 0.5000